The following is a DFT calculation (GGA+U) of CrPd2RuF after structural relaxation.

a = 4.437 Å, b = 4.437 Å, c = 3.986 Å
α = 90.00°, β = 90.00°, γ = 90.00°
Element x y z (fractional)
Cr 0.000 0.000 0.000
Pd 0.000 0.500 0.500
Pd 0.500 0.000 0.500
Ru 0.500 0.500 0.000
F 0.500 0.500 0.500

Calculated values
final energy = -4.7368 eV/atom